1.
The following is a GGA-PBE calculation of crystalline LaTi3F at its relaxed geometry, from Alexandria via LeMat-Bulk.

Properties
- Relative energy among the computed polymorphs: 0.000 eV/atom
- ΔE_f (raw): -7.35 kcal/mol of atoms

a = 4.507 Å, b = 4.507 Å, c = 4.507 Å
α = 90.00°, β = 90.00°, γ = 90.00°
Space group Pm-3m (No. 221)
Symmetry-distinct sites (fractional):
La (0.000, 0.000, 0.000) (multiplicity 1)
Ti (0.000, 0.500, 0.500) (multiplicity 3)
F (0.500, 0.500, 0.500) (multiplicity 1)

***

2.
The following is a GGA-PBE calculation of crystalline LaTiF3 at its relaxed geometry, from Alexandria via LeMat-Bulk.

Properties
- Relative energy among the computed polymorphs: 0.036 eV/atom
- ΔE_f (raw): -52.24 kcal/mol of atoms

a = 4.749 Å, b = 4.749 Å, c = 4.749 Å
α = 90.00°, β = 90.00°, γ = 90.00°
Space group Pm-3m (No. 221)
Symmetry-distinct sites (fractional):
La (0.000, 0.000, 0.000) (multiplicity 1)
Ti (0.500, 0.500, 0.500) (multiplicity 1)
F (0.000, 0.000, 0.500) (multiplicity 3)

***

3.
The following is a GGA-PBE calculation of crystalline La3TiF at its relaxed geometry, from Alexandria via LeMat-Bulk.

Properties
- Relative energy among the computed polymorphs: 0.000 eV/atom
- ΔE_f (raw): -18.19 kcal/mol of atoms

a = 5.112 Å, b = 5.112 Å, c = 5.112 Å
α = 90.00°, β = 90.00°, γ = 90.00°
Space group Pm-3m (No. 221)
Symmetry-distinct sites (fractional):
La (0.000, 0.000, 0.500) (multiplicity 3)
Ti (0.500, 0.500, 0.500) (multiplicity 1)
F (0.000, 0.000, 0.000) (multiplicity 1)

***

4.
The following is a GGA-PBE calculation of crystalline LaTiF3 at its relaxed geometry, from Alexandria via LeMat-Bulk.

Properties
- Relative energy among the computed polymorphs: 0.000 eV/atom
- ΔE_f (raw): -53.08 kcal/mol of atoms

a = 4.296 Å, b = 4.296 Å, c = 4.296 Å
α = 90.00°, β = 90.00°, γ = 90.00°
Space group Pm-3m (No. 221)
Symmetry-distinct sites (fractional):
La (0.000, 0.000, 0.000) (multiplicity 1)
Ti (0.500, 0.500, 0.500) (multiplicity 1)
F (0.000, 0.500, 0.500) (multiplicity 3)

***

5.
The following is a GGA-PBE calculation of crystalline LaTiF2 at its relaxed geometry, from Alexandria via LeMat-Bulk.

Properties
- Relative energy among the computed polymorphs: 0.000 eV/atom
- ΔE_f (raw): -47.18 kcal/mol of atoms

a = 3.2897 Å, b = 3.2897 Å, c = 23.0238 Å
α = 90.00°, β = 90.00°, γ = 120.00°
Space group R-3m (No. 166, hexagonal axes)
Symmetry-distinct sites (fractional):
La (0.0000, 0.0000, 0.0000) (multiplicity 3)
Ti (0.0000, 0.0000, 0.5000) (multiplicity 3)
F (0.0000, 0.0000, 0.4114) (multiplicity 6)

***

6.
The following is a GGA-PBE calculation of crystalline LaTi3F at its relaxed geometry, from Alexandria via LeMat-Bulk.

Properties
- Relative energy among the computed polymorphs: 1.580 eV/atom
- ΔE_f (raw): 29.10 kcal/mol of atoms

a = 4.858 Å, b = 4.858 Å, c = 4.858 Å
α = 90.00°, β = 90.00°, γ = 90.00°
Space group Pm-3m (No. 221)
Symmetry-distinct sites (fractional):
La (0.000, 0.000, 0.000) (multiplicity 1)
Ti (0.000, 0.000, 0.500) (multiplicity 3)
F (0.500, 0.500, 0.500) (multiplicity 1)

***

7.
The following is a GGA-PBE calculation of crystalline LaTlF6 at its relaxed geometry, from Alexandria via LeMat-Bulk.

Properties
- ΔE_f (raw): -68.45 kcal/mol of atoms

a = 9.034 Å, b = 9.034 Å, c = 9.034 Å
α = 90.00°, β = 90.00°, γ = 90.00°
Space group Fm-3m (No. 225)
Symmetry-distinct sites (fractional):
La (0.000, 0.000, 0.000) (multiplicity 4)
Tl (0.000, 0.000, 0.500) (multiplicity 4)
F (0.000, 0.000, 0.257) (multiplicity 24)

***

8.
The following is a GGA-PBE calculation of crystalline LaTl2F11 at its relaxed geometry, from Alexandria via LeMat-Bulk.

Properties
- ΔE_f (raw): -48.92 kcal/mol of atoms

a = 8.415 Å, b = 10.527 Å, c = 11.474 Å
α = 90.00°, β = 90.00°, γ = 90.00°
Space group Ibam (No. 72)
Symmetry-distinct sites (fractional):
La (0.000, 0.000, 0.250) (multiplicity 4)
Tl (0.167, 0.308, 0.000) (multiplicity 8)
F (0.000, 0.500, 0.000) (multiplicity 4)
F (0.103, 0.313, 0.500) (multiplicity 8)
F (0.105, 0.176, 0.139) (multiplicity 16)
F (0.215, 0.077, 0.370) (multiplicity 16)

***

9.
The following is a GGA-PBE calculation of crystalline LaTl4F7 at its relaxed geometry, from Alexandria via LeMat-Bulk.

Properties
- ΔE_f (raw): -57.98 kcal/mol of atoms

a = 19.593 Å, b = 4.614 Å, c = 6.635 Å
α = 90.00°, β = 106.82°, γ = 90.00°
Space group C2/m (No. 12)
Symmetry-distinct sites (fractional):
La (0.000, 0.000, 0.000) (multiplicity 2)
Tl (0.095, 0.500, 0.566) (multiplicity 4)
Tl (0.212, 0.500, 0.195) (multiplicity 4)
F (0.000, 0.500, 0.000) (multiplicity 2)
F (0.072, 0.000, 0.776) (multiplicity 4)
F (0.103, 0.000, 0.285) (multiplicity 4)
F (0.218, 0.500, 0.820) (multiplicity 4)

***

10.
The following is a GGA-PBE calculation of crystalline La2Tl3F8 at its relaxed geometry, from Alexandria via LeMat-Bulk.

Properties
- ΔE_f (raw): -69.33 kcal/mol of atoms

a = 8.226 Å, b = 14.772 Å, c = 4.080 Å
α = 90.00°, β = 90.00°, γ = 90.00°
Space group Cmmm (No. 65)
Symmetry-distinct sites (fractional):
La (0.000, 0.246, 0.000) (multiplicity 4)
Tl (0.000, 0.500, 0.000) (multiplicity 2)
Tl (0.195, 0.000, 0.500) (multiplicity 4)
F (0.000, 0.154, 0.500) (multiplicity 4)
F (0.000, 0.335, 0.500) (multiplicity 4)
F (0.247, 0.342, 0.000) (multiplicity 8)

***

11.
The following is a GGA-PBE calculation of crystalline LaTlF3 at its relaxed geometry, from Alexandria via LeMat-Bulk.

Properties
- Relative energy among the computed polymorphs: 0.000 eV/atom
- ΔE_f (raw): -67.05 kcal/mol of atoms

a = 4.657 Å, b = 4.657 Å, c = 4.657 Å
α = 90.00°, β = 90.00°, γ = 90.00°
Space group Pm-3m (No. 221)
Symmetry-distinct sites (fractional):
La (0.000, 0.000, 0.000) (multiplicity 1)
Tl (0.500, 0.500, 0.500) (multiplicity 1)
F (0.000, 0.000, 0.500) (multiplicity 3)

***

12.
The following is a GGA-PBE calculation of crystalline LaTlF4 at its relaxed geometry, from Alexandria via LeMat-Bulk.

Properties
- ΔE_f (raw): -77.78 kcal/mol of atoms

a = 4.126 Å, b = 4.126 Å, c = 6.667 Å
α = 90.00°, β = 90.00°, γ = 90.00°
Space group P4/mmm (No. 123)
Symmetry-distinct sites (fractional):
La (0.000, 0.000, 0.000) (multiplicity 1)
Tl (0.500, 0.500, 0.500) (multiplicity 1)
F (0.000, 0.500, 0.200) (multiplicity 4)

***

Q: Which value of ΔE_f (raw) does entry 9 give?
A: -57.98 kcal/mol of atoms